Below is an optimized crystal structure of InTc2Bi, with properties calculated at the PBE level.

Values from the calculation:
- formation energy from the elements (eV/atom) = 1.038
- offset from the most stable computed form (eV per atom) = 0.500
- spin magnetization (μB/f.u.) = 4.02
- final energy (eV per atom) = -5.800

abc: 7.5321 7.5321 6.1370
angles: 52.15 52.15 90.00
Fractional positions:
Tc1 0.6230 0.1250 0.2500
Tc2 0.1270 0.6250 0.2500
Tc3 0.3750 0.3770 0.7500
Tc4 0.8750 0.8730 0.7500
Bi1 0.0000 0.0000 0.0000
Bi2 0.7500 0.2500 0.5000
In1 0.5000 0.5000 0.0000
In2 0.2500 0.7500 0.5000


Below is an optimized crystal structure of In2TcBi, with properties calculated at the PBE level.

Values from the calculation:
- formation energy from the elements (eV/atom) = 0.332
- spin magnetization (μB/f.u.) = 0.00
- final energy (eV per atom) = -4.599

abc: 10.3745 10.3745 7.7840
angles: 48.21 48.21 90.00
Fractional positions:
Tc1 0.5000 0.5000 0.0000
Tc2 0.2500 0.7500 0.5000
Bi1 0.0000 0.0000 0.0000
Bi2 0.7500 0.2500 0.5000
In1 0.3752 0.1250 0.2500
In2 0.3748 0.6250 0.2500
In3 0.3750 0.6248 0.7500
In4 0.8750 0.6252 0.7500


Below is an optimized crystal structure of In3TcBi, with properties calculated at the PBE level.

Values from the calculation:
- formation energy from the elements (eV/atom) = 0.476
- offset from the most stable computed form (eV per atom) = 0.000
- spin magnetization (μB/f.u.) = 2.32
- final energy (eV per atom) = -4.016

abc: 5.2694 5.2694 5.2694
angles: 90.00 90.00 90.00
Fractional positions:
Tc1 0.0000 0.0000 0.0000
Bi1 0.5000 0.5000 0.5000
In1 0.0000 0.5000 0.0000
In2 0.0000 0.0000 0.5000
In3 0.5000 0.0000 0.0000


Below is an optimized crystal structure of In3BiTe4, with properties calculated at the PBE level.

Values from the calculation:
- formation energy (no corrections) (eV/f.u.) = -1.885
- offset from the most stable computed form (eV per atom) = 0.001
- spin magnetization (μB/f.u.) = 0.00
- final energy (eV per atom) = -3.318

abc: 6.4162 6.4351 12.5723
angles: 90.00 90.00 90.00
Fractional positions:
In1 0.5646 0.7556 0.0000
In2 0.0611 0.7463 0.2501
In3 0.5611 0.2537 0.2499
In4 0.0646 0.2444 0.5000
In5 0.5611 0.2537 0.7501
In6 0.0611 0.7463 0.7499
Bi1 0.0804 0.2225 0.0000
Bi2 0.5804 0.7775 0.5000
Te1 0.0613 0.7431 0.0000
Te2 0.5651 0.2579 0.0000
Te3 0.0608 0.2473 0.2503
Te4 0.5608 0.7527 0.2497
Te5 0.0651 0.7421 0.5000
Te6 0.5613 0.2569 0.5000
Te7 0.5608 0.7527 0.7503
Te8 0.0608 0.2473 0.7497


Copy entry 2 word for word.
Below is an optimized crystal structure of In2TcBi, with properties calculated at the PBE level.

Values from the calculation:
- formation energy from the elements (eV/atom) = 0.332
- spin magnetization (μB/f.u.) = 0.00
- final energy (eV per atom) = -4.599

abc: 10.3745 10.3745 7.7840
angles: 48.21 48.21 90.00
Fractional positions:
Tc1 0.5000 0.5000 0.0000
Tc2 0.2500 0.7500 0.5000
Bi1 0.0000 0.0000 0.0000
Bi2 0.7500 0.2500 0.5000
In1 0.3752 0.1250 0.2500
In2 0.3748 0.6250 0.2500
In3 0.3750 0.6248 0.7500
In4 0.8750 0.6252 0.7500